Entry from Alexandria via LeMat-Bulk: a relaxed structure of Co2OsW (GGA-PBEsol).

Values from the calculation:
The value obtained for the energy above the lowest structure with this stoichiometry is 0.001 eV/atom. Its density of states at the Fermi level is 3.61 states/eV per cell. The calculation puts the formation enthalpy at 0 K at -24.6 meV/atom.

Cell: 2.621 4.163 4.505 Å, 90.00 90.00 90.00°
Space group Pmm2 (No. 25)
Inequivalent atoms, fractional coordinates:
Co (0.000, 0.000, 0.000) x1
Co (0.000, 0.500, 0.318) x1
Os (0.500, 0.500, 0.846) x1
W (0.500, 0.000, 0.492) x1